1.
# BaAgSbTe2

A relaxed structure of BaAgSbTe2 (PBE-GGA, Alexandria).

a b c (Å): 6.505 6.505 6.508
angles (deg): 90.00 90.00 90.00
Last column: magnetic moment on the atom in μB.
Atoms (fractional coordinates):
Sb  0.000  0.000  0.500  0.51
Te  0.000  0.500  0.000  0.22
Te  0.500  0.000  0.000  0.22
Ba  0.000  0.000  0.000  0.02
Ag  0.500  0.500  0.500  -0.03

Properties
Raw total energy ... -2.355 eV/atom
M_tot ... 2.12 μB per formula unit
V ... 275 Å³/cell
Symmetry ... P4/mmm, No. 123
ΔE_f (raw) ... 681 meV/atom
Calculated density ... 3.75 g cm⁻³
Energy relative to the lowest polymorph listed for this composition ... 1.045 eV/atom

---

2.
# LiCu3N3

A relaxed structure of LiCu3N3 (PBE-GGA, Alexandria).

a b c (Å): 4.040 4.040 4.040
angles (deg): 90.00 90.00 90.00
Last column: magnetic moment on the atom in μB.
Atoms (fractional coordinates):
Li  0.500  0.500  0.500  0.04
Cu  0.000  0.500  0.000  0.04
Cu  0.000  0.000  0.500  0.04
Cu  0.500  0.000  0.000  0.04
N  0.500  0.000  0.500  0.30
N  0.500  0.500  0.000  0.30
N  0.000  0.500  0.500  0.30

Properties
Raw total energy ... -4.935 eV/atom
M_tot ... 1.33 μB per formula unit
V ... 66 Å³/cell
Symmetry ... Pm-3m, No. 221
ΔE_f (raw) ... 662 meV/atom
Calculated density ... 6.03 g cm⁻³

---

3.
# SmTl2HgSe4

A relaxed structure of SmTl2HgSe4 (PBE-GGA, Alexandria).

a b c (Å): 4.214 7.806 7.471
angles (deg): 69.73 90.00 90.00
Atoms (fractional coordinates):
Sm  0.000  0.500  0.500
Tl  0.000  0.000  0.000
Tl  0.500  0.000  0.500
Hg  0.500  0.500  0.000
Se  0.000  0.714  0.766
Se  0.000  0.286  0.234
Se  0.500  0.731  0.276
Se  0.500  0.269  0.724

Properties
Raw total energy ... -3.688 eV/atom
M_tot ... 0.00 μB per formula unit
V ... 231 Å³/cell
Symmetry ... P2/m, No. 10
ΔE_f (raw) ... -727 meV/atom
Calculated density ... 7.75 g cm⁻³

---

4.
# TiGa2Tc2

A relaxed structure of TiGa2Tc2 (PBE-GGA, Alexandria).

a b c (Å): 4.781 5.268 10.321
angles (deg): 41.08 76.61 63.01
Atoms (fractional coordinates):
Ti  0.180  0.750  0.250
Ti  0.820  0.250  0.750
Ga  0.359  0.969  0.649
Ga  0.976  0.531  0.851
Ga  0.641  0.031  0.351
Ga  0.024  0.469  0.149
Tc  0.442  0.829  0.952
Tc  0.777  0.329  0.452
Tc  0.558  0.171  0.048
Tc  0.223  0.671  0.548

Properties
Raw total energy ... -7.188 eV/atom
M_tot ... 0.00 μB per formula unit
V ... 149 Å³/cell
Symmetry ... C2/c, No. 15
Calculated density ... 8.52 g cm⁻³
Energy relative to the lowest polymorph listed for this composition ... 0.000 eV/atom

---

5.
# LiMn2Pd5

A relaxed structure of LiMn2Pd5 (PBE-GGA, Alexandria).

a b c (Å): 5.453 5.453 5.453
angles (deg): 117.44 117.44 94.50
Last column: magnetic moment on the atom in μB.
Atoms (fractional coordinates):
Li  0.778  0.778  0.000  -0.03
Mn  0.278  0.778  0.500  3.92
Mn  0.778  0.278  0.500  3.92
Pd  0.278  0.278  0.500  0.16
Pd  0.278  0.778  0.000  0.16
Pd  0.778  0.278  0.000  0.16
Pd  0.778  0.778  0.500  0.16
Pd  0.278  0.278  0.000  0.04

Properties
Raw total energy ... -6.070 eV/atom
M_tot ... 8.70 μB per formula unit
V ... 119 Å³/cell
Symmetry ... I4/mmm, No. 139
Calculated density ... 9.08 g cm⁻³

---

6.
# NaZrCl3

A relaxed structure of NaZrCl3 (PBE-GGA, Alexandria).

a b c (Å): 5.111 5.111 5.111
angles (deg): 90.00 90.00 90.00
Atoms (fractional coordinates):
Na  0.500  0.500  0.500
Zr  0.000  0.000  0.000
Cl  0.000  0.500  0.000
Cl  0.000  0.000  0.500
Cl  0.500  0.000  0.000

Properties
Raw total energy ... -4.365 eV/atom
M_tot ... 0.00 μB per formula unit
V ... 134 Å³/cell
Symmetry ... Pm-3m, No. 221
ΔE_f (raw) ... -1284 meV/atom
Calculated density ... 2.74 g cm⁻³
Energy relative to the lowest polymorph listed for this composition ... 0.000 eV/atom

---

What is the M_tot in the third record?
0.00 μB per formula unit

---

What is the V in the fourth record?
149 Å³/cell